# 1
MgPPb2 | PBE | optimized geometry

Calculated values
ΔE to the lowest computed polymorph	0.310	eV per atom

Cell lengths 6.849, 6.849, 11.578 Å; angles 90.00, 90.00, 90.00 degrees
Space group I-42d (No. 122)
Symmetry-distinct sites (fractional):
Mg 0.000 0.000 0.000
P 0.000 0.000 0.500
Pb 0.221 0.250 0.625

# 2
MgPPb | PBE | optimized geometry

Calculated values
ΔE to the lowest computed polymorph	0.000	eV per atom

Cell lengths 4.2196, 4.2196, 29.4465 Å; angles 90.00, 90.00, 120.00 degrees
Space group R-3m (No. 166, hexagonal axes)
Symmetry-distinct sites (fractional):
Mg 0.0000 0.0000 0.1338
P 0.0000 0.0000 0.2253
Pb 0.0000 0.0000 0.3777

# 3
MgPPb2 | PBE | optimized geometry

Calculated values
ΔE to the lowest computed polymorph	0.197	eV per atom

Cell lengths 6.071, 10.678, 4.357 Å; angles 90.00, 133.36, 90.00 degrees
Space group C2/m (No. 12)
Symmetry-distinct sites (fractional):
Mg 0.000 0.000 0.000
P 0.000 0.500 0.000
Pb 0.250 0.250 0.500

# 4
MgPPb2 | PBE | optimized geometry

Calculated values
ΔE to the lowest computed polymorph	0.317	eV per atom

Cell lengths 7.391, 7.391, 7.391 Å; angles 90.00, 90.00, 90.00 degrees
Space group Fm-3m (No. 225)
Symmetry-distinct sites (fractional):
Mg 0.000 0.000 0.000
P 0.000 0.000 0.500
Pb 0.250 0.250 0.250

The evaluated magnetic moment for the records listed, in turn: 0.00; 0.00; 0.00; 0.00 μB/f.u..
The evaluated energy of formation from the pure elements for the records listed, in turn: 24.0; -20.6; 13.0; 24.6 kJ/mol of atoms.
The evaluated DFT total energy for the records listed, in turn: -3.357; -3.785; -3.471; -3.351 eV/atom.